[1]
Entry from Alexandria via LeMat-Bulk: an optimized crystal structure of V6Ge3Mo (PBE).

total moment: 0.001 μB/cell
VASP energy: -0.585 Ry/atom
ΔE_f: -0.016 eV/atom
DOS at the Fermi energy: 1.03 states/eV per atom
symmetry: Cmc2_1 (36)

a b c (Å): 7.406 7.406 5.849
angles (deg): 90.00 90.00 110.34
Fractional coordinates of all 20 atoms:
V  0.029  0.444  0.032
V  0.043  0.957  0.500
V  0.262  0.377  0.315
V  0.273  0.727  0.313
V  0.377  0.262  0.815
V  0.444  0.029  0.532
V  0.556  0.971  0.032
V  0.623  0.738  0.315
V  0.727  0.273  0.813
V  0.738  0.623  0.815
V  0.957  0.043  0.000
V  0.971  0.556  0.532
Ge  0.063  0.280  0.664
Ge  0.280  0.063  0.164
Ge  0.403  0.597  0.960
Ge  0.597  0.403  0.460
Ge  0.720  0.937  0.664
Ge  0.937  0.720  0.164
Mo  0.188  0.812  0.800
Mo  0.812  0.188  0.300

[2]
Entry from Alexandria via LeMat-Bulk: an optimized crystal structure of PmPrTcN3 (PBE).

total moment: 0.000 μB/cell
VASP energy: -0.611 Ry/atom
DOS at the Fermi energy: 0.37 states/eV per atom
symmetry: P2_1/m (11)

a b c (Å): 6.574 3.546 9.079
angles (deg): 90.00 99.21 90.00
Fractional coordinates of all 12 atoms:
Pm  0.188  0.250  0.129
Pm  0.812  0.750  0.871
Pr  0.240  0.250  0.752
Pr  0.760  0.750  0.248
Tc  0.383  0.750  0.425
Tc  0.617  0.250  0.575
N  0.124  0.750  0.305
N  0.187  0.750  0.930
N  0.488  0.750  0.650
N  0.512  0.250  0.350
N  0.813  0.250  0.070
N  0.876  0.250  0.695

[3]
Entry from Alexandria via LeMat-Bulk: an optimized crystal structure of Rb3Tb2YO6 (PBE).

total moment: 0.000 μB/cell
VASP energy: -0.493 Ry/atom
DOS at the Fermi energy: 0.00 states/eV per atom
symmetry: C2/m (12)

a b c (Å): 6.112 6.112 6.877
angles (deg): 98.52 98.52 120.00
Fractional coordinates of all 12 atoms:
Rb  0.000  0.000  0.000
Rb  0.333  0.667  0.000
Rb  0.667  0.333  0.000
Tb  0.167  0.833  0.500
Tb  0.833  0.167  0.500
Y  0.500  0.500  0.500
O  0.109  0.441  0.324
O  0.226  0.226  0.676
O  0.441  0.109  0.324
O  0.559  0.891  0.676
O  0.774  0.774  0.324
O  0.891  0.559  0.676

[4]
Entry from Alexandria via LeMat-Bulk: an optimized crystal structure of PuSi2Au3 (PBE).

total moment: 10.607 μB/cell
VASP energy: -0.452 Ry/atom
DOS at the Fermi energy: 2.29 states/eV per atom
symmetry: C2/m (12)

a b c (Å): 8.211 8.211 7.533
angles (deg): 115.11 115.11 30.17
Fractional coordinates of all 12 atoms:
Pu  0.146  0.146  0.069
Pu  0.854  0.854  0.931
Si  0.198  0.198  0.714
Si  0.488  0.488  0.837
Si  0.512  0.512  0.163
Si  0.802  0.802  0.286
Au  0.045  0.045  0.370
Au  0.317  0.317  0.588
Au  0.381  0.381  0.268
Au  0.619  0.619  0.732
Au  0.683  0.683  0.412
Au  0.955  0.955  0.630

[5]
Entry from Alexandria via LeMat-Bulk: an optimized crystal structure of CaPRh (PBE).

total moment: 0.000 μB/cell
VASP energy: -0.429 Ry/atom
ΔE_f: -0.917 eV/atom
DOS at the Fermi energy: 0.35 states/eV per atom
symmetry: C2/m (12)

a b c (Å): 5.729 5.729 6.906
angles (deg): 124.34 124.34 42.85
Fractional coordinates of all 6 atoms:
Ca  0.051  0.051  0.300
Ca  0.949  0.949  0.700
P  0.292  0.292  0.822
P  0.708  0.708  0.178
Rh  0.284  0.284  0.159
Rh  0.716  0.716  0.841

[6]
Entry from Alexandria via LeMat-Bulk: an optimized crystal structure of Dy12HgRu6 (PBE).

total moment: 0.000 μB/cell
VASP energy: -0.452 Ry/atom
ΔE_f: -0.295 eV/atom
DOS at the Fermi energy: 1.00 states/eV per atom
symmetry: Im-3 (204)

a b c (Å): 8.496 8.496 8.496
angles (deg): 109.47 109.47 109.47
Fractional coordinates of all 19 atoms:
Dy  0.100  0.296  0.805
Dy  0.195  0.491  0.296
Dy  0.195  0.900  0.704
Dy  0.296  0.195  0.491
Dy  0.296  0.805  0.100
Dy  0.491  0.296  0.195
Dy  0.509  0.704  0.805
Dy  0.704  0.195  0.900
Dy  0.704  0.805  0.509
Dy  0.805  0.100  0.296
Dy  0.805  0.509  0.704
Dy  0.900  0.704  0.195
Hg  0.000  0.000  0.000
Ru  0.125  0.500  0.625
Ru  0.375  0.875  0.500
Ru  0.500  0.375  0.875
Ru  0.500  0.625  0.125
Ru  0.625  0.125  0.500
Ru  0.875  0.500  0.375

[7]
Entry from Alexandria via LeMat-Bulk: an optimized crystal structure of ErZr4Ru5 (PBE).

total moment: 0.000 μB/cell
VASP energy: -0.672 Ry/atom
ΔE_f: -0.625 eV/atom
DOS at the Fermi energy: 0.20 states/eV per atom
symmetry: P4/mmm (123)

a b c (Å): 3.289 3.289 16.584
angles (deg): 90.00 90.00 90.00
Fractional coordinates of all 10 atoms:
Er  0.000  0.000  0.000
Zr  0.000  0.000  0.201
Zr  0.000  0.000  0.401
Zr  0.000  0.000  0.599
Zr  0.000  0.000  0.799
Ru  0.500  0.500  0.110
Ru  0.500  0.500  0.304
Ru  0.500  0.500  0.500
Ru  0.500  0.500  0.696
Ru  0.500  0.500  0.890

[8]
Entry from Alexandria via LeMat-Bulk: an optimized crystal structure of PuTePt (PBE).

total moment: 9.838 μB/cell
VASP energy: -0.634 Ry/atom
DOS at the Fermi energy: 3.92 states/eV per atom
symmetry: Cmcm (63)

a b c (Å): 9.781 9.781 4.171
angles (deg): 90.00 90.00 157.32
Fractional coordinates of all 6 atoms:
Pu  0.097  0.903  0.750
Pu  0.903  0.097  0.250
Te  0.318  0.682  0.750
Te  0.682  0.318  0.250
Pt  0.458  0.542  0.750
Pt  0.542  0.458  0.250

[9]
Entry from Alexandria via LeMat-Bulk: an optimized crystal structure of Pm5PrNdSm2 (PBE).

total moment: 0.000 μB/cell
VASP energy: -0.330 Ry/atom
ΔE_f: 0.256 eV/atom
DOS at the Fermi energy: 1.45 states/eV per atom
symmetry: I4/mcm (140)

a b c (Å): 10.110 10.110 10.110
angles (deg): 127.84 127.84 76.89
Fractional coordinates of all 18 atoms:
Pm  0.000  0.000  0.000
Pm  0.068  0.568  0.909
Pm  0.159  0.068  0.500
Pm  0.341  0.841  0.909
Pm  0.432  0.341  0.500
Pm  0.500  0.500  0.000
Pm  0.568  0.659  0.500
Pm  0.659  0.159  0.091
Pm  0.841  0.932  0.500
Pm  0.932  0.432  0.091
Pr  0.250  0.250  0.000
Pr  0.750  0.750  0.000
Nd  0.250  0.750  0.500
Nd  0.750  0.250  0.500
Sm  0.118  0.382  0.500
Sm  0.382  0.882  0.264
Sm  0.618  0.118  0.736
Sm  0.882  0.618  0.500

[10]
Entry from Alexandria via LeMat-Bulk: an optimized crystal structure of Na2FeNi (PBE).

total moment: 7.133 μB/cell
VASP energy: -0.247 Ry/atom
ΔE_f: 0.861 eV/atom
energy above the most stable polymorph in this dataset: 0 meV/atom
DOS at the Fermi energy: 1.01 states/eV per atom
symmetry: I-42d (122)

a b c (Å): 7.475 7.475 7.475
angles (deg): 94.97 94.97 145.75
Fractional coordinates of all 8 atoms:
Na  0.375  0.228  0.353
Na  0.772  0.125  0.147
Na  0.875  0.022  0.647
Na  0.978  0.625  0.853
Fe  0.250  0.750  0.500
Fe  0.500  0.500  0.000
Ni  0.000  0.000  0.000
Ni  0.750  0.250  0.500

[11]
Entry from Alexandria via LeMat-Bulk: an optimized crystal structure of AcSi2AgS6 (PBE).

total moment: 0.000 μB/cell
VASP energy: -0.379 Ry/atom
DOS at the Fermi energy: 0.00 states/eV per atom
symmetry: C2/c (15)

a b c (Å): 9.101 9.101 6.067
angles (deg): 98.05 98.05 92.63
Fractional coordinates of all 20 atoms:
Ac  0.129  0.871  0.750
Ac  0.871  0.129  0.250
Si  0.218  0.366  0.755
Si  0.366  0.218  0.255
Si  0.634  0.782  0.745
Si  0.782  0.634  0.245
Ag  0.328  0.672  0.250
Ag  0.672  0.328  0.750
S  0.039  0.202  0.719
S  0.156  0.575  0.899
S  0.202  0.039  0.219
S  0.287  0.411  0.441
S  0.411  0.287  0.941
S  0.425  0.844  0.601
S  0.575  0.156  0.399
S  0.589  0.713  0.059
S  0.713  0.589  0.559
S  0.798  0.961  0.781
S  0.844  0.425  0.101
S  0.961  0.798  0.281

[12]
Entry from Alexandria via LeMat-Bulk: an optimized crystal structure of Tl2OsI2Br4 (PBE).

total moment: 2.007 μB/cell
VASP energy: -0.238 Ry/atom
DOS at the Fermi energy: 0.57 states/eV per atom
symmetry: C2/m (12)

a b c (Å): 7.627 7.627 7.539
angles (deg): 118.54 118.54 58.52
Fractional coordinates of all 9 atoms:
Tl  0.247  0.247  0.203
Tl  0.753  0.753  0.797
Os  0.500  0.500  0.000
I  0.262  0.262  0.699
I  0.738  0.738  0.301
Br  0.231  0.705  0.200
Br  0.295  0.769  0.800
Br  0.705  0.231  0.200
Br  0.769  0.295  0.800

[13]
Entry from Alexandria via LeMat-Bulk: an optimized crystal structure of LaW2Br2 (PBE).

total moment: 0.000 μB/cell
VASP energy: -0.464 Ry/atom
energy above the most stable polymorph in this dataset: 0 meV/atom
DOS at the Fermi energy: 1.23 states/eV per atom
symmetry: I4/mmm (139)

a b c (Å): 6.443 6.443 6.443
angles (deg): 137.24 137.24 62.06
Fractional coordinates of all 5 atoms:
La  0.000  0.000  0.000
W  0.399  0.399  0.000
W  0.601  0.601  0.000
Br  0.250  0.750  0.500
Br  0.750  0.250  0.500

[14]
Entry from Alexandria via LeMat-Bulk: an optimized crystal structure of SrMg3Cu (PBE).

total moment: 0.000 μB/cell
VASP energy: -0.157 Ry/atom
ΔE_f: -0.023 eV/atom
energy above the most stable polymorph in this dataset: 33 meV/atom
DOS at the Fermi energy: 0.73 states/eV per atom
symmetry: Pm-3m (221)

a b c (Å): 5.079 5.079 5.079
angles (deg): 90.00 90.00 90.00
Fractional coordinates of all 5 atoms:
Sr  0.000  0.000  0.000
Mg  0.000  0.500  0.500
Mg  0.500  0.000  0.500
Mg  0.500  0.500  0.000
Cu  0.500  0.500  0.500

[15]
Entry from Alexandria via LeMat-Bulk: an optimized crystal structure of ErTiCuRu (PBE).

total moment: 0.000 μB/cell
VASP energy: -0.494 Ry/atom
ΔE_f: -0.261 eV/atom
DOS at the Fermi energy: 0.96 states/eV per atom
symmetry: F-43m (216)

a b c (Å): 4.594 4.594 4.594
angles (deg): 60.00 60.00 60.00
Fractional coordinates of all 4 atoms:
Er  0.000  0.000  0.000
Ti  0.500  0.500  0.500
Cu  0.750  0.750  0.750
Ru  0.250  0.250  0.250

[16]
Entry from Alexandria via LeMat-Bulk: an optimized crystal structure of Pr3ThPt4 (PBE).

total moment: 0.000 μB/cell
VASP energy: -0.503 Ry/atom
ΔE_f: -1.100 eV/atom
DOS at the Fermi energy: 0.37 states/eV per atom
symmetry: P2/c (13)

a b c (Å): 7.332 8.435 7.303
angles (deg): 90.00 109.53 90.00
Fractional coordinates of all 16 atoms:
Pr  0.000  0.123  0.250
Pr  0.000  0.375  0.750
Pr  0.000  0.625  0.250
Pr  0.000  0.877  0.750
Pr  0.500  0.124  0.750
Pr  0.500  0.876  0.250
Th  0.500  0.375  0.250
Th  0.500  0.625  0.750
Pt  0.254  0.131  0.006
Pt  0.254  0.869  0.506
Pt  0.259  0.380  0.499
Pt  0.259  0.620  0.999
Pt  0.741  0.380  0.001
Pt  0.741  0.620  0.501
Pt  0.746  0.131  0.494
Pt  0.746  0.869  0.994

[17]
Entry from Alexandria via LeMat-Bulk: an optimized crystal structure of NiBi2As2 (PBE).

total moment: 0.000 μB/cell
VASP energy: -0.335 Ry/atom
ΔE_f: 0.015 eV/atom
DOS at the Fermi energy: 0.42 states/eV per atom
symmetry: P4/mbm (127)

a b c (Å): 6.237 6.237 6.067
angles (deg): 90.00 90.00 90.00
Fractional coordinates of all 10 atoms:
Ni  0.000  0.000  0.000
Ni  0.500  0.500  0.000
Bi  0.192  0.308  0.500
Bi  0.308  0.808  0.500
Bi  0.692  0.192  0.500
Bi  0.808  0.692  0.500
As  0.147  0.353  0.000
As  0.353  0.853  0.000
As  0.647  0.147  0.000
As  0.853  0.647  0.000

[18]
Entry from Alexandria via LeMat-Bulk: an optimized crystal structure of NbTl2PbSe4 (PBE).

total moment: 0.000 μB/cell
VASP energy: -0.333 Ry/atom
DOS at the Fermi energy: 0.32 states/eV per atom
symmetry: I-4 (82)

a b c (Å): 7.071 7.071 7.071
angles (deg): 107.45 107.45 113.60
Fractional coordinates of all 8 atoms:
Nb  0.000  0.000  0.000
Tl  0.500  0.500  0.000
Tl  0.750  0.250  0.500
Pb  0.250  0.750  0.500
Se  0.004  0.984  0.340
Se  0.016  0.355  0.020
Se  0.335  0.996  0.980
Se  0.645  0.665  0.660

[19]
Entry from Alexandria via LeMat-Bulk: an optimized crystal structure of LiCe2HoAs4 (PBE).

total moment: 0.252 μB/cell
VASP energy: -0.424 Ry/atom
ΔE_f: -1.148 eV/atom
DOS at the Fermi energy: 0.02 states/eV per atom
symmetry: P2/m (10)

a b c (Å): 6.979 4.198 7.261
angles (deg): 90.00 109.84 90.00
Fractional coordinates of all 8 atoms:
Li  0.000  0.000  0.000
Ce  0.500  0.000  0.500
Ce  0.500  0.500  0.000
Ho  0.000  0.500  0.500
As  0.248  0.000  0.748
As  0.256  0.500  0.254
As  0.744  0.500  0.746
As  0.752  0.000  0.252

[20]
Entry from Alexandria via LeMat-Bulk: an optimized crystal structure of ErCdPd3 (PBE).

total moment: 0.000 μB/cell
VASP energy: -0.340 Ry/atom
ΔE_f: -0.416 eV/atom
DOS at the Fermi energy: 0.33 states/eV per atom
symmetry: P6_3/mmc (194)

a b c (Å): 6.591 6.591 5.402
angles (deg): 90.00 90.00 120.00
Fractional coordinates of all 10 atoms:
Er  0.333  0.667  0.250
Er  0.667  0.333  0.750
Cd  0.000  0.000  0.000
Cd  0.000  0.000  0.500
Pd  0.201  0.401  0.750
Pd  0.201  0.799  0.750
Pd  0.401  0.201  0.250
Pd  0.599  0.799  0.750
Pd  0.799  0.201  0.250
Pd  0.799  0.599  0.250

[21]
Entry from Alexandria via LeMat-Bulk: an optimized crystal structure of Mo3Ru (PBE).

total moment: 0.000 μB/cell
VASP energy: -0.725 Ry/atom
ΔE_f: 0.575 eV/atom
DOS at the Fermi energy: 0.99 states/eV per atom
symmetry: Cmcm (63)

a b c (Å): 5.434 5.434 4.510
angles (deg): 90.00 90.00 86.65
Fractional coordinates of all 8 atoms:
Mo  0.027  0.606  0.250
Mo  0.096  0.904  0.750
Mo  0.394  0.973  0.250
Mo  0.606  0.027  0.750
Mo  0.904  0.096  0.250
Mo  0.973  0.394  0.750
Ru  0.429  0.571  0.750
Ru  0.571  0.429  0.250

[22]
Entry from Alexandria via LeMat-Bulk: an optimized crystal structure of ZrCdSn2O (PBE).

total moment: 0.286 μB/cell
VASP energy: -0.304 Ry/atom
DOS at the Fermi energy: 0.90 states/eV per atom
symmetry: P4/mmm (123)

a b c (Å): 5.693 5.693 3.838
angles (deg): 90.00 90.00 90.00
Fractional coordinates of all 5 atoms:
Zr  0.000  0.000  0.000
Cd  0.500  0.500  0.500
Sn  0.000  0.500  0.500
Sn  0.500  0.000  0.500
O  0.500  0.500  0.000